No. 1
A plane-wave DFT calculation with PBE was carried out for a relaxed Na3Cr2CoS6 crystal.

## Properties
E_form (uncorrected) = -828 meV/atom
Crystal system = monoclinic
Size of the total moment = 11.93 μB/cell

Cell lengths 6.1253, 10.6099, 6.7705 Å; angles 90.00, 107.60, 90.00 degrees
Space group C2/m (No. 12)
Unique sites:
Na 0.0000 0.0000 0.0000 x2
Na 0.0000 0.3314 0.0000 x4
Cr 0.0000 0.1665 0.5000 x4
Co 0.0000 0.5000 0.5000 x2
S 0.2248 0.3394 0.6921 x8
S 0.2430 0.0000 0.6920 x4

No. 2
A plane-wave DFT calculation with PBE was carried out for a relaxed NaCrCoSn2 crystal.

## Properties
Calculated formation energy = 0.50 eV per atom
Crystal system = tetragonal
Size of the total moment = 5.18 μB/cell

Cell lengths 4.8382, 4.8382, 5.1040 Å; angles 90.00, 90.00, 90.00 degrees
Space group P4/mmm (No. 123)
Unique sites:
Na 0.0000 0.0000 0.0000 x1
Cr 0.5000 0.5000 0.0000 x1
Co 0.0000 0.0000 0.5000 x1
Sn 0.0000 0.5000 0.5000 x2

Number 1: volume 17.47 Å³ per atom. Number 2: volume 23.90 Å³ per atom.